The following is a PBE-GGA calculation of an optimized crystal structure of Pa2TlFe, from Alexandria via LeMat-Bulk.

Geometry as POSCAR:
```
Pa2TlFe
1.0
1.8534 1.0700 8.2758
-1.8534 1.0700 8.2758
0.0000 -2.1401 8.2758
Pa Tl Fe
2 1 1
Direct
0.2269 0.2269 0.2269
0.7731 0.7731 0.7731
0.0000 0.0000 0.0000
0.5000 0.5000 0.5000
```

As for the excess energy over the best structure of this formula in the dataset: 0.00 eV per formula unit. Its magnetization is 0.00 μB/cell. The energy of formation from the pure elements comes out at 21 meV/atom. The symmetry is R-3m.